(1)
! Ce4Pa3BeN8 | Alexandria | PBE | relaxed; values from VASP
! E_tot = -8.955 eV/atom
! E_form (uncorrected) = -1.2953 eV per atom
&SYSTEM
  ibrav = 0, nat = 16, ntyp = 4
/
ATOMIC_SPECIES
Ce 140.12 Ce.upf
Pa 231.04 Pa.upf
Be 9.01 Be.upf
N 14.01 N.upf
CELL_PARAMETERS angstrom
3.4598 1.9975 5.7519
-3.4598 1.9975 5.7519
0.0000 -3.9950 5.7519
ATOMIC_POSITIONS angstrom
Ce 0.0000 0.0000 0.0000
Ce -1.7299 -0.9987 5.7519
Ce -1.7299 0.9987 11.5038
Ce 0.0000 1.9975 5.7519
Pa -3.4597 0.0000 8.6279
Pa -1.7299 0.9987 2.8760
Pa 1.7299 0.9987 2.8760
Be 0.0000 0.0000 8.6279
N 0.0000 0.0000 4.1917
N -1.7043 -0.9840 9.9024
N 0.0000 -1.9679 7.3534
N -1.7043 0.9840 7.3534
N 1.7043 -0.9840 9.9023
N 0.0000 1.9679 9.9023
N 1.7043 0.9840 7.3534
N 0.0000 0.0000 13.0641

***

(2)
! UAlPt6 | Alexandria | PBE | relaxed; values from VASP
! E_tot = -7.116 eV/atom
&SYSTEM
  ibrav = 0, nat = 8, ntyp = 3
/
ATOMIC_SPECIES
U 238.03 U.upf
Al 26.98 Al.upf
Pt 195.08 Pt.upf
CELL_PARAMETERS angstrom
5.7005 0.0000 0.0000
0.0000 5.7005 0.0000
0.0000 0.0000 4.0766
ATOMIC_POSITIONS angstrom
U 0.0000 0.0000 0.0000
Al 2.8502 2.8502 0.0000
Pt 0.0000 2.8502 0.0000
Pt 1.4461 1.4461 2.0383
Pt 1.4461 4.2544 2.0383
Pt 2.8502 0.0000 0.0000
Pt 4.2544 1.4461 2.0383
Pt 4.2544 4.2544 2.0383

***

(3)
! DyZnCdRh | Alexandria | PBE | relaxed; values from VASP
! E_tot = -3.909 eV/atom
&SYSTEM
  ibrav = 0, nat = 16, ntyp = 4
/
ATOMIC_SPECIES
Dy 162.50 Dy.upf
Zn 65.41 Zn.upf
Cd 112.41 Cd.upf
Rh 102.91 Rh.upf
CELL_PARAMETERS angstrom
6.7486 0.0000 0.0000
0.0000 6.7486 0.0000
0.0000 0.0000 6.7486
ATOMIC_POSITIONS angstrom
Dy 0.0000 0.0000 0.0000
Dy 0.0000 3.3743 3.3743
Dy 3.3743 0.0000 3.3743
Dy 3.3743 3.3743 0.0000
Zn 1.6872 1.6872 1.6872
Zn 1.6872 5.0615 5.0615
Zn 5.0615 1.6872 5.0615
Zn 5.0615 5.0615 1.6872
Cd 0.0000 0.0000 3.3743
Cd 0.0000 3.3743 0.0000
Cd 3.3743 0.0000 0.0000
Cd 3.3743 3.3743 3.3743
Rh 1.6872 1.6872 5.0615
Rh 1.6872 5.0615 1.6872
Rh 5.0615 1.6872 1.6872
Rh 5.0615 5.0615 5.0615

***

(4)
! VAg3Br | Alexandria | PBE | relaxed; values from VASP
! E_tot = -2.692 eV/atom
! energy above the lowest structure with this stoichiometry = 108 meV/atom
! E_form (uncorrected) = 1.1766 eV per atom
&SYSTEM
  ibrav = 0, nat = 5, ntyp = 3
/
ATOMIC_SPECIES
V 50.94 V.upf
Ag 107.87 Ag.upf
Br 79.90 Br.upf
CELL_PARAMETERS angstrom
5.1642 0.0000 0.0000
0.0000 5.1642 0.0000
0.0000 0.0000 5.1642
ATOMIC_POSITIONS angstrom
V 0.0000 0.0000 0.0000
Ag 0.0000 2.5821 2.5821
Ag 2.5821 0.0000 2.5821
Ag 2.5821 2.5821 0.0000
Br 2.5821 2.5821 2.5821

***

(5)
! Tm8Cd2Pb | Alexandria | PBE | relaxed; values from VASP
! E_tot = -3.809 eV/atom
! energy above the lowest structure with this stoichiometry = 146 meV/atom
&SYSTEM
  ibrav = 0, nat = 11, ntyp = 3
/
ATOMIC_SPECIES
Tm 168.93 Tm.upf
Cd 112.41 Cd.upf
Pb 207.20 Pb.upf
CELL_PARAMETERS angstrom
4.3726 -7.1690 0.0000
4.3726 7.1690 0.0000
-1.9927 0.0000 5.1101
ATOMIC_POSITIONS angstrom
Tm 0.6114 1.6706 3.1548
Tm 4.3726 3.9549 0.0000
Tm 0.6114 -1.6706 3.1548
Tm 3.1015 0.0000 1.0200
Tm 3.6511 0.0000 4.0900
Tm 6.1412 1.6706 1.9553
Tm 4.3726 -3.9549 0.0000
Tm 6.1412 -1.6706 1.9553
Cd 3.3763 2.7993 2.5550
Cd 3.3763 -2.7993 2.5550
Pb 0.0000 0.0000 0.0000

***

(6)
! Li3Ca6Mg | Alexandria | PBE | relaxed; values from VASP
! E_tot = -1.850 eV/atom
! energy above the lowest structure with this stoichiometry = 69 meV/atom
&SYSTEM
  ibrav = 0, nat = 20, ntyp = 3
/
ATOMIC_SPECIES
Li 6.94 Li.upf
Ca 40.08 Ca.upf
Mg 24.30 Mg.upf
CELL_PARAMETERS angstrom
9.9835 0.0000 0.0000
0.0000 12.2929 0.0000
0.0000 0.0000 5.6752
ATOMIC_POSITIONS angstrom
Li 0.0000 0.0000 0.0000
Li 1.7169 3.3471 2.8376
Li 3.2748 9.4936 0.0000
Li 4.9917 6.1465 2.8376
Li 6.7086 2.7994 0.0000
Li 8.2666 8.9458 2.8376
Ca 0.0391 3.0002 0.0000
Ca 1.6302 7.1894 2.8376
Ca 1.6861 11.3739 2.8376
Ca 3.3057 5.2275 0.0000
Ca 3.3616 1.0429 0.0000
Ca 4.9526 9.1466 2.8376
Ca 5.0309 3.1463 2.8376
Ca 6.6219 11.2500 0.0000
Ca 6.6778 7.0655 0.0000
Ca 8.2974 0.9190 2.8376
Ca 8.3533 5.1036 2.8376
Ca 9.9444 9.2928 0.0000
Mg 0.0000 6.1465 0.0000
Mg 4.9917 0.0000 2.8376

***

(7)
! Ti3NbH4 | Alexandria | PBE | relaxed; values from VASP
! E_tot = -6.216 eV/atom
&SYSTEM
  ibrav = 0, nat = 16, ntyp = 3
/
ATOMIC_SPECIES
Ti 47.87 Ti.upf
Nb 92.91 Nb.upf
H 1.01 H.upf
CELL_PARAMETERS angstrom
6.7877 0.0000 0.0000
0.0000 4.8095 0.0000
0.0000 0.0000 4.8209
ATOMIC_POSITIONS angstrom
Ti 0.0000 1.1886 0.0000
Ti 1.6968 1.2191 2.4107
Ti 1.6971 3.5904 0.0003
Ti 3.3938 3.6209 2.4104
Ti 5.0909 1.2191 2.4107
Ti 5.0906 3.5904 0.0003
Nb 0.0000 3.6166 2.4136
Nb 3.3938 1.1929 0.0032
H 0.0000 0.6371 1.7920
H 0.0000 4.2062 4.2455
H 1.6652 1.8020 4.2005
H 1.7287 3.0075 1.7901
H 3.3938 0.6033 1.8351
H 3.3938 4.1724 4.2025
H 5.0590 3.0075 1.7901
H 5.1225 1.8020 4.2005

***

(8)
! Hf6ZrBi3 | Alexandria | PBE | relaxed; values from VASP
! E_tot = -7.958 eV/atom
&SYSTEM
  ibrav = 0, nat = 20, ntyp = 3
/
ATOMIC_SPECIES
Hf 178.49 Hf.upf
Zr 91.22 Zr.upf
Bi 208.98 Bi.upf
CELL_PARAMETERS angstrom
4.7654 -7.3503 0.0000
4.7654 7.3503 0.0000
0.0000 0.0000 7.1131
ATOMIC_POSITIONS angstrom
Hf 2.2049 3.1860 7.0575
Hf 4.7654 6.6009 3.5566
Hf 2.9542 1.0399 5.0936
Hf 4.7654 3.4573 5.3320
Hf 2.9542 -1.0399 1.5370
Hf 2.2049 -3.1860 3.5009
Hf 7.3260 3.1860 7.0575
Hf 6.5767 1.0399 5.0936
Hf 4.7654 -3.4573 1.7754
Hf 6.5767 -1.0399 1.5370
Hf 4.7654 -6.6009 0.0000
Hf 7.3260 -3.1860 3.5009
Zr 4.7654 4.7490 1.2993
Zr 4.7654 -4.7490 4.8558
Bi 1.7716 1.5038 2.4632
Bi 1.7716 -1.5038 6.0198
Bi 4.7654 1.4385 0.5260
Bi 4.7654 -1.4385 4.0825
Bi 7.7593 1.5038 2.4632
Bi 7.7593 -1.5038 6.0198

***

(9)
! Ta3Rh7 | Alexandria | PBE | relaxed; values from VASP
! E_tot = -9.286 eV/atom
&SYSTEM
  ibrav = 0, nat = 10, ntyp = 2
/
ATOMIC_SPECIES
Ta 180.95 Ta.upf
Rh 102.91 Rh.upf
CELL_PARAMETERS angstrom
7.1390 -1.9660 0.0000
7.1390 1.9660 0.0000
-1.2402 0.0000 5.3895
ATOMIC_POSITIONS angstrom
Ta 0.0000 0.0000 0.0000
Ta 1.9637 0.0000 3.3587
Ta 11.0740 0.0000 2.0308
Rh -0.6201 0.0000 2.6948
Rh 2.7468 0.0000 0.6458
Rh 4.8254 0.0000 3.6964
Rh 5.5033 0.0000 1.0347
Rh 7.5344 0.0000 4.3548
Rh 8.2123 0.0000 1.6931
Rh 10.2909 0.0000 4.7437

***

(10)
! Zr2UCrC4 | Alexandria | PBE | relaxed; values from VASP
! E_tot = -9.676 eV/atom
&SYSTEM
  ibrav = 0, nat = 16, ntyp = 4
/
ATOMIC_SPECIES
Zr 91.22 Zr.upf
U 238.03 U.upf
Cr 52.00 Cr.upf
C 12.01 C.upf
CELL_PARAMETERS angstrom
1.6407 -5.6694 0.0000
1.6407 5.6694 0.0000
0.0000 0.0000 11.3285
ATOMIC_POSITIONS angstrom
Zr 1.6407 4.1859 6.1642
Zr 1.6407 4.1859 10.8285
Zr 1.6407 -4.1859 0.4999
Zr 1.6407 -4.1859 5.1643
U 1.6407 1.1415 8.4964
U 1.6407 -1.1415 2.8321
Cr 1.6407 1.8425 2.8321
Cr 1.6407 -1.8425 8.4964
C 1.6407 4.9697 8.4964
C 1.6407 3.0350 1.4423
C 1.6407 3.0350 4.2220
C 1.6407 0.0000 0.0000
C 1.6407 0.0000 5.6642
C 1.6407 -3.0350 7.1065
C 1.6407 -3.0350 9.8862
C 1.6407 -4.9697 2.8321

***

(11)
! Na3CdIn2O6 | Alexandria | PBE | relaxed; values from VASP
! E_tot = -4.751 eV/atom
! E_form (uncorrected) = -1.4099 eV per atom
&SYSTEM
  ibrav = 0, nat = 12, ntyp = 4
/
ATOMIC_SPECIES
Na 22.99 Na.upf
Cd 112.41 Cd.upf
In 114.82 In.upf
O 16.00 O.upf
CELL_PARAMETERS angstrom
2.8655 -4.9573 0.0000
2.8655 4.9573 0.0000
-1.9220 0.0000 5.5462
ATOMIC_POSITIONS angstrom
Na 0.0000 0.0000 0.0000
Na 2.8655 1.6182 0.0000
Na 2.8655 -1.6182 0.0000
Cd 1.9045 0.0000 2.7731
In 1.9045 3.3062 2.7731
In 1.9045 -3.3062 2.7731
O 0.9190 1.7082 1.5662
O -0.0775 0.0000 3.9863
O 0.9190 -1.7082 1.5662
O 2.8899 1.7082 3.9800
O 3.8865 0.0000 1.5599
O 2.8899 -1.7082 3.9800

***

(12)
! TbNd2PuO8 | Alexandria | PBE | relaxed; values from VASP
! E_tot = -8.679 eV/atom
! E_form (uncorrected) = -2.9988 eV per atom
&SYSTEM
  ibrav = 0, nat = 12, ntyp = 4
/
ATOMIC_SPECIES
Tb 158.93 Tb.upf
Nd 144.24 Nd.upf
Pu 244.00 Pu.upf
O 16.00 O.upf
CELL_PARAMETERS angstrom
4.0139 0.0000 0.0000
0.5907 5.5290 0.0000
0.0499 0.1715 7.5601
ATOMIC_POSITIONS angstrom
Tb 0.0000 0.0000 0.0000
Nd 2.3345 2.8347 5.7364
Nd 2.3200 2.8657 1.8237
Pu 0.0249 0.0857 3.7800
O 0.3434 1.4560 5.5094
O 0.3508 1.2550 2.1583
O 2.1967 4.4303 3.7601
O 2.4613 4.3355 7.4891
O 2.1932 1.3650 0.0709
O 2.4577 1.2702 3.8000
O 4.3037 4.4455 5.4018
O 4.3111 4.2445 2.0507

***

(13)
! Cr2TcN | Alexandria | PBE | relaxed; values from VASP
! E_tot = -9.689 eV/atom
! E_form (uncorrected) = -0.2050 eV per atom
&SYSTEM
  ibrav = 0, nat = 12, ntyp = 3
/
ATOMIC_SPECIES
Cr 52.00 Cr.upf
Tc 98.00 Tc.upf
N 14.01 N.upf
CELL_PARAMETERS angstrom
2.8007 0.0000 0.0000
-1.4003 2.4254 0.0000
0.0000 0.0000 19.3951
ATOMIC_POSITIONS angstrom
Cr 0.0000 0.0000 4.3002
Cr 0.0000 0.0000 15.0949
Cr 0.0000 1.6170 8.6299
Cr 0.0000 1.6170 17.2303
Cr 1.4003 0.8085 2.1648
Cr 1.4003 0.8085 10.7652
Tc 0.0000 0.0000 0.0000
Tc 0.0000 1.6170 12.9301
Tc 1.4003 0.8085 6.4650
N 0.0000 0.0000 9.6976
N 0.0000 1.6170 3.2325
N 1.4003 0.8085 16.1626

***

(14)
! AlZnSi2 | Alexandria | PBE | relaxed; values from VASP
! E_tot = -3.679 eV/atom
! energy above the lowest structure with this stoichiometry = 66 meV/atom
! E_form (uncorrected) = 0.2869 eV per atom
&SYSTEM
  ibrav = 0, nat = 4, ntyp = 3
/
ATOMIC_SPECIES
Al 26.98 Al.upf
Zn 65.41 Zn.upf
Si 28.09 Si.upf
CELL_PARAMETERS angstrom
2.9087 0.0000 0.0000
0.0000 2.9087 0.0000
0.0000 0.0000 7.3415
ATOMIC_POSITIONS angstrom
Al 0.0000 0.0000 0.0000
Zn 0.0000 0.0000 3.6708
Si 1.4543 1.4543 1.8074
Si 1.4543 1.4543 5.5341

***

(15)
! ScFeTc2 | Alexandria | PBE | relaxed; values from VASP
! E_tot = -8.926 eV/atom
! energy above the lowest structure with this stoichiometry = 0 meV/atom
&SYSTEM
  ibrav = 0, nat = 16, ntyp = 3
/
ATOMIC_SPECIES
Sc 44.96 Sc.upf
Fe 55.84 Fe.upf
Tc 98.00 Tc.upf
CELL_PARAMETERS angstrom
6.1961 0.0000 0.0000
0.0000 6.1961 0.0000
0.0000 0.0000 6.1961
ATOMIC_POSITIONS angstrom
Sc 0.0000 0.0000 0.0000
Sc 0.0000 3.0980 3.0980
Sc 3.0980 0.0000 3.0980
Sc 3.0980 3.0980 0.0000
Fe 1.5490 1.5490 4.6470
Fe 1.5490 4.6470 1.5490
Fe 4.6470 1.5490 1.5490
Fe 4.6470 4.6470 4.6470
Tc 0.0000 0.0000 3.0980
Tc 0.0000 3.0980 0.0000
Tc 1.5490 1.5490 1.5490
Tc 1.5490 4.6470 4.6470
Tc 3.0980 0.0000 0.0000
Tc 3.0980 3.0980 3.0980
Tc 4.6470 1.5490 4.6470
Tc 4.6470 4.6470 1.5490

***

(16)
! Ba2SrLiCl | Alexandria | PBE | relaxed; values from VASP
! E_tot = -2.405 eV/atom
! energy above the lowest structure with this stoichiometry = 41 meV/atom
! E_form (uncorrected) = -0.5479 eV per atom
&SYSTEM
  ibrav = 0, nat = 5, ntyp = 4
/
ATOMIC_SPECIES
Ba 137.33 Ba.upf
Sr 87.62 Sr.upf
Li 6.94 Li.upf
Cl 35.45 Cl.upf
CELL_PARAMETERS angstrom
6.3451 0.0000 0.0000
0.0000 6.3451 0.0000
0.0000 0.0000 5.8118
ATOMIC_POSITIONS angstrom
Ba 0.0000 3.1726 0.0000
Ba 3.1726 0.0000 0.0000
Sr 0.0000 0.0000 2.9059
Li 3.1726 3.1726 2.9059
Cl 0.0000 0.0000 0.0000

***

(17)
! CaPmHoTl | Alexandria | PBE | relaxed; values from VASP
! E_tot = -3.388 eV/atom
&SYSTEM
  ibrav = 0, nat = 16, ntyp = 4
/
ATOMIC_SPECIES
Ca 40.08 Ca.upf
Pm 145.00 Pm.upf
Ho 164.93 Ho.upf
Tl 204.38 Tl.upf
CELL_PARAMETERS angstrom
7.9059 0.0000 0.0000
0.0000 7.9059 0.0000
0.0000 0.0000 7.9059
ATOMIC_POSITIONS angstrom
Ca 0.0000 0.0000 0.0000
Ca 0.0000 3.9530 3.9530
Ca 3.9530 0.0000 3.9530
Ca 3.9530 3.9530 0.0000
Pm 1.9765 1.9765 1.9765
Pm 1.9765 5.9295 5.9295
Pm 5.9295 1.9765 5.9295
Pm 5.9295 5.9295 1.9765
Ho 0.0000 0.0000 3.9530
Ho 0.0000 3.9530 0.0000
Ho 3.9530 0.0000 0.0000
Ho 3.9530 3.9530 3.9530
Tl 1.9765 1.9765 5.9295
Tl 1.9765 5.9295 1.9765
Tl 5.9295 1.9765 1.9765
Tl 5.9295 5.9295 5.9295

***

(18)
! Sr2YMo | Alexandria | PBE | relaxed; values from VASP
! E_tot = -4.228 eV/atom
! energy above the lowest structure with this stoichiometry = 419 meV/atom
&SYSTEM
  ibrav = 0, nat = 8, ntyp = 3
/
ATOMIC_SPECIES
Sr 87.62 Sr.upf
Y 88.91 Y.upf
Mo 95.94 Mo.upf
CELL_PARAMETERS angstrom
6.6830 0.0000 0.0000
0.0000 11.4816 0.0000
-1.2773 0.0000 3.3746
ATOMIC_POSITIONS angstrom
Sr 1.6707 2.8704 0.0000
Sr 1.6707 8.6112 0.0000
Sr 5.0122 2.8704 0.0000
Sr 5.0122 8.6112 0.0000
Y -0.6387 0.0000 1.6873
Y 2.7028 5.7408 1.6873
Mo -0.6387 5.7408 1.6873
Mo 2.7028 0.0000 1.6873

***

(19)
! AcTb2Hg | Alexandria | PBE | relaxed; values from VASP
! E_tot = -3.625 eV/atom
! energy above the lowest structure with this stoichiometry = 0 meV/atom
&SYSTEM
  ibrav = 0, nat = 4, ntyp = 3
/
ATOMIC_SPECIES
Ac 227.00 Ac.upf
Tb 158.93 Tb.upf
Hg 200.59 Hg.upf
CELL_PARAMETERS angstrom
3.7639 0.0000 0.0000
0.0000 3.7639 0.0000
0.0000 0.0000 9.0027
ATOMIC_POSITIONS angstrom
Ac 0.0000 0.0000 0.0000
Tb 1.8819 1.8819 2.6613
Tb 1.8819 1.8819 6.3414
Hg 0.0000 0.0000 4.5013

***

(20)
! Nd8Er4Th | Alexandria | PBE | relaxed; values from VASP
! E_tot = -4.684 eV/atom
&SYSTEM
  ibrav = 0, nat = 13, ntyp = 3
/
ATOMIC_SPECIES
Nd 144.24 Nd.upf
Er 167.26 Er.upf
Th 232.04 Th.upf
CELL_PARAMETERS angstrom
3.6811 2.1253 9.5513
-3.6811 2.1253 9.5513
0.0000 -4.2506 9.5513
ATOMIC_POSITIONS angstrom
Nd -2.0257 -1.1695 16.3251
Nd 0.0000 0.0000 6.1382
Nd 0.0000 -2.3391 12.3286
Nd -2.0257 1.1695 12.3286
Nd 2.0257 -1.1695 16.3252
Nd 0.0000 2.3391 16.3252
Nd 0.0000 0.0000 22.5155
Nd 2.0257 1.1695 12.3286
Er 0.0000 0.0000 0.0000
Er -1.8406 -1.0627 9.5513
Er -1.8406 1.0627 19.1025
Er 0.0000 2.1253 9.5512
Th 0.0000 0.0000 14.3269

***

Summary of total magnetic moment in μB/cell
0.00, 1.10, 0.00, 4.36, 0.44, 0.00, 0.00, 0.00, 0.00, 2.80, 1.08, 0.99, 0.00, 0.00, 7.39, 0.72, 3.79, 5.56, 0.00, 0.00
(order as listed above)